[1]
# ScAg2I6 | Alexandria via LeMat-Bulk | PBE | optimized geometry
# - N(E_F) (states/eV per atom) = 0.363
# - VASP energy (eV per cell) = -105.184
# - calculated density (g cm⁻³) = 4.49
data_ScAg2I6
_symmetry_space_group_name_H-M 'C 1 2/c 1'
_symmetry_Int_Tables_number 15
_cell_length_a 14.625
_cell_length_b 13.611
_cell_length_c 8.145
_cell_angle_alpha 90.00
_cell_angle_beta 111.25
_cell_angle_gamma 90.00
loop_
_symmetry_equiv_pos_as_xyz
'x,y,z'
'-x,-y,-z'
'-x,y,-z+1/2'
'x,-y,z+1/2'
'x+1/2,y+1/2,z'
'-x+1/2,-y+1/2,-z'
'-x+1/2,y+1/2,-z+1/2'
'x+1/2,-y+1/2,z+1/2'
loop_
_atom_site_label
_atom_site_type_symbol
_atom_site_fract_x
_atom_site_fract_y
_atom_site_fract_z
Sc1 Sc 0.000 0.085 0.250
Ag1 Ag 0.191 0.416 0.293
I1 I 0.102 0.085 0.644
I2 I 0.106 0.441 0.921
I3 I 0.152 0.205 0.244

[2]
# ScAg2I | Alexandria via LeMat-Bulk | PBE | optimized geometry
# - N(E_F) (states/eV per atom) = 0.584
# - VASP energy (eV per cell) = -50.319
# - excess energy over the best structure of this formula in the dataset (meV/atom) = 265
# - calculated density (g cm⁻³) = 6.87
data_ScAg2I
_symmetry_space_group_name_H-M 'F m -3 m'
_symmetry_Int_Tables_number 225
_symmetry_space_group_name_Hall '-F 4 2 3'
_cell_length_a 7.210
_cell_length_b 7.210
_cell_length_c 7.210
_cell_angle_alpha 90.00
_cell_angle_beta 90.00
_cell_angle_gamma 90.00
loop_
_atom_site_label
_atom_site_type_symbol
_atom_site_fract_x
_atom_site_fract_y
_atom_site_fract_z
Sc1 Sc 0.000 0.000 0.000
Ag1 Ag 0.250 0.250 0.250
I1 I 0.000 0.000 0.500

[3]
# ScAgI3 | Alexandria via LeMat-Bulk | PBE | optimized geometry
# - N(E_F) (states/eV per atom) = 1.366
# - VASP energy (eV per cell) = -15.969
# - excess energy over the best structure of this formula in the dataset (meV/atom) = 0
# - calculated density (g cm⁻³) = 4.69
data_ScAgI3
_symmetry_space_group_name_H-M 'P m -3 m'
_symmetry_Int_Tables_number 221
_symmetry_space_group_name_Hall '-P 4 2 3'
_cell_length_a 5.738
_cell_length_b 5.738
_cell_length_c 5.738
_cell_angle_alpha 90.00
_cell_angle_beta 90.00
_cell_angle_gamma 90.00
loop_
_atom_site_label
_atom_site_type_symbol
_atom_site_fract_x
_atom_site_fract_y
_atom_site_fract_z
Sc1 Sc 0.000 0.000 0.000
Ag1 Ag 0.500 0.500 0.500
I1 I 0.000 0.000 0.500

[4]
# ScAg2I | Alexandria via LeMat-Bulk | PBE | optimized geometry
# - N(E_F) (states/eV per atom) = 0.098
# - VASP energy (eV per cell) = -54.555
# - excess energy over the best structure of this formula in the dataset (meV/atom) = 0
# - calculated density (g cm⁻³) = 6.57
data_ScAg2I
_symmetry_space_group_name_H-M 'I -4 2 d'
_symmetry_Int_Tables_number 122
_symmetry_space_group_name_Hall 'I -4 2bw'
_cell_length_a 8.301
_cell_length_b 8.301
_cell_length_c 5.689
_cell_angle_alpha 90.00
_cell_angle_beta 90.00
_cell_angle_gamma 90.00
loop_
_atom_site_label
_atom_site_type_symbol
_atom_site_fract_x
_atom_site_fract_y
_atom_site_fract_z
Sc1 Sc 0.000 0.000 0.000
Ag1 Ag 0.242 0.250 0.125
I1 I 0.000 0.000 0.500

[5]
# Sc2TcAgI | Alexandria via LeMat-Bulk | PBE | optimized geometry
# - N(E_F) (states/eV per atom) = 1.282
# - VASP energy (eV per cell) = -23.357
# - calculated density (g cm⁻³) = 5.13
data_Sc2TcAgI
_symmetry_space_group_name_H-M 'P 4/m m m'
_symmetry_Int_Tables_number 123
_symmetry_space_group_name_Hall '-P 4 2'
_cell_length_a 5.200
_cell_length_b 5.200
_cell_length_c 5.057
_cell_angle_alpha 90.00
_cell_angle_beta 90.00
_cell_angle_gamma 90.00
loop_
_atom_site_label
_atom_site_type_symbol
_atom_site_fract_x
_atom_site_fract_y
_atom_site_fract_z
Sc1 Sc 0.000 0.500 0.000
Tc1 Tc 0.000 0.000 0.500
Ag1 Ag 0.000 0.000 0.000
I1 I 0.500 0.500 0.500

[6]
# ScAgTeI2 | Alexandria via LeMat-Bulk | PBE | optimized geometry
# - N(E_F) (states/eV per atom) = 0.274
# - VASP energy (eV per cell) = -17.145
# - excess energy over the best structure of this formula in the dataset (meV/atom) = 0
# - calculated density (g cm⁻³) = 4.81
data_ScAgTeI2
_symmetry_space_group_name_H-M 'P 4/m m m'
_symmetry_Int_Tables_number 123
_symmetry_space_group_name_Hall '-P 4 2'
_cell_length_a 5.665
_cell_length_b 5.665
_cell_length_c 5.742
_cell_angle_alpha 90.00
_cell_angle_beta 90.00
_cell_angle_gamma 90.00
loop_
_atom_site_label
_atom_site_type_symbol
_atom_site_fract_x
_atom_site_fract_y
_atom_site_fract_z
Sc1 Sc 0.000 0.000 0.000
Ag1 Ag 0.500 0.500 0.500
Te1 Te 0.000 0.000 0.500
I1 I 0.000 0.500 0.000

[7]
# ScTl2AgI6 | Alexandria via LeMat-Bulk | PBE | optimized geometry
# - N(E_F) (states/eV per atom) = 0.000
# - VASP energy (eV per cell) = -93.248
# - calculated density (g cm⁻³) = 5.08
data_ScTl2AgI6
_symmetry_space_group_name_H-M 'R 3'
_symmetry_Int_Tables_number 146
_symmetry_space_group_name_Hall 'R 3'
_cell_length_a 8.3158
_cell_length_b 8.3158
_cell_length_c 21.6801
_cell_angle_alpha 90.00
_cell_angle_beta 90.00
_cell_angle_gamma 120.00
loop_
_atom_site_label
_atom_site_type_symbol
_atom_site_fract_x
_atom_site_fract_y
_atom_site_fract_z
Sc1 Sc 0.0000 0.0000 0.0000
Tl1 Tl 0.0000 0.0000 0.2155
Tl2 Tl 0.0000 0.0000 0.6974
Ag1 Ag 0.0000 0.0000 0.4145
I1 I 0.0339 0.6180 0.7559
I2 I 0.0811 0.3540 0.5964

[8]
# ScTl3Ag3I8 | Alexandria via LeMat-Bulk | PBE | optimized geometry
# - N(E_F) (states/eV per atom) = 0.395
# - VASP energy (eV per cell) = -84.572
# - calculated density (g cm⁻³) = 5.85
data_ScTl3Ag3I8
_symmetry_space_group_name_H-M 'C 1 2/m 1'
_symmetry_Int_Tables_number 12
_cell_length_a 15.644
_cell_length_b 9.010
_cell_length_c 9.584
_cell_angle_alpha 90.00
_cell_angle_beta 122.94
_cell_angle_gamma 90.00
loop_
_symmetry_equiv_pos_as_xyz
'x,y,z'
'-x,-y,-z'
'-x,y,-z'
'x,-y,z'
'x+1/2,y+1/2,z'
'-x+1/2,-y+1/2,-z'
'-x+1/2,y+1/2,-z'
'x+1/2,-y+1/2,z'
loop_
_atom_site_label
_atom_site_type_symbol
_atom_site_fract_x
_atom_site_fract_y
_atom_site_fract_z
Sc1 Sc 0.000 0.000 0.000
Tl1 Tl 0.000 0.000 0.500
Tl2 Tl 0.250 0.250 0.500
Ag1 Ag 0.000 0.500 0.000
Ag2 Ag 0.250 0.250 0.000
I1 I 0.013 0.241 0.798
I2 I 0.227 0.000 0.201
I3 I 0.236 0.500 0.206